# 1
Material: Ce7Ga5Bi
Method: DFT, GGA-PBE
State: optimized geometry

The structure in CIF format:
```
data_Ce7Ga5Bi
_chemical_formula_sum 'Ce7 Ga5 Bi1'
_cell_length_a 8.032
_cell_length_b 8.032
_cell_length_c 8.032
_cell_angle_alpha 136.07
_cell_angle_beta 98.22
_cell_angle_gamma 97.86
_symmetry_space_group_name_H-M 'P 1'
_symmetry_Int_Tables_number 1
loop_
_symmetry_equiv_pos_as_xyz
'x,y,z'
loop_
_atom_site_label
_atom_site_type_symbol
_atom_site_fract_x
_atom_site_fract_y
_atom_site_fract_z
_atom_site_occupancy
Ce1 Ce 0.000 0.000 0.000 1
Ce2 Ce 0.345 0.667 0.678 1
Ce3 Ce 0.361 0.361 0.000 1
Ce4 Ce 0.471 0.139 0.333 1
Ce5 Ce 0.806 0.139 0.667 1
Ce6 Ce 0.843 0.343 0.500 1
Ce7 Ce 0.989 0.667 0.322 1
Ga1 Ga 0.155 0.168 0.507 1
Ga2 Ga 0.155 0.648 0.987 1
Ga3 Ga 0.398 0.898 0.500 1
Ga4 Ga 0.661 0.168 0.013 1
Ga5 Ga 0.661 0.648 0.493 1
Bi1 Bi 0.672 0.672 0.000 1
```

Values from the calculation:
Total DFT energy (no corrections) (Ha/atom): -0.1843



# 2
Material: Ce2GaBi
Method: DFT, GGA-PBE
State: optimized geometry

The structure in CIF format:
```
data_Ce2GaBi
_chemical_formula_sum 'Ce4 Ga2 Bi2'
_cell_length_a 6.264
_cell_length_b 4.309
_cell_length_c 9.008
_cell_angle_alpha 90.00
_cell_angle_beta 108.00
_cell_angle_gamma 90.00
_symmetry_space_group_name_H-M 'P 1'
_symmetry_Int_Tables_number 1
loop_
_symmetry_equiv_pos_as_xyz
'x,y,z'
loop_
_atom_site_label
_atom_site_type_symbol
_atom_site_fract_x
_atom_site_fract_y
_atom_site_fract_z
_atom_site_occupancy
Ce1 Ce 0.188 0.250 0.425 1
Ce2 Ce 0.278 0.750 0.060 1
Ce3 Ce 0.722 0.250 0.940 1
Ce4 Ce 0.812 0.750 0.575 1
Ga1 Ga 0.107 0.250 0.796 1
Ga2 Ga 0.893 0.750 0.204 1
Bi1 Bi 0.384 0.750 0.708 1
Bi2 Bi 0.616 0.250 0.292 1
```

Values from the calculation:
Total DFT energy (no corrections) (Ha/atom): -0.1917
Distance to the lowest polymorph of the same formula (meV per atom): 35



Number 1: N(E_F) 2.49 states/eV/atom, formation energy -34.6 kJ per mole of atoms, theoretical density 7.7 g cm⁻³. Number 2: N(E_F) 3.32 states/eV/atom, formation energy -50.4 kJ per mole of atoms, theoretical density 8.0 g cm⁻³.